{
  "formula": "Fe5NiN4",
  "functional": "PBE",
  "state": "optimized geometry",
  "cell": [[5.691, 0.000, 0.000], [0.000, 7.004, 0.000], [0.000, 0.000, 4.661]],
  "species": ["Fe", "Fe", "Fe", "Fe", "Fe", "Fe", "Fe", "Fe", "Fe", "Fe", "Ni", "Ni", "N", "N", "N", "N", "N", "N", "N", "N"],
  "fractional_positions": [[0.012, 0.058, 0.248], [0.012, 0.442, 0.248], [0.250, 0.750, 0.211], [0.488, 0.058, 0.248], [0.488, 0.442, 0.248], [0.512, 0.558, 0.752], [0.512, 0.942, 0.752], [0.750, 0.250, 0.789], [0.988, 0.558, 0.752], [0.988, 0.942, 0.752], [0.250, 0.250, 0.751], [0.750, 0.750, 0.249], [0.018, 0.750, 0.492], [0.250, 0.523, 0.987], [0.250, 0.977, 0.987], [0.482, 0.750, 0.492], [0.518, 0.250, 0.508], [0.750, 0.023, 0.013], [0.750, 0.477, 0.013], [0.982, 0.250, 0.508]],
  "formation_energy_uncorrected_ev_per_atom": 0.12,
  "rho_g_cm3": 7.0
}